Here is Ca2Tl4Sn after structural relaxation from Alexandria via LeMat-Bulk. Energies are from PBE.

Cell lengths 14.7505, 4.5860, 7.0110 Å; angles 90.00, 109.75, 90.00 degrees
Atoms (fractional coordinates):
Ca (0.2231, 0.0000, 0.2479)
Ca (0.2769, 0.5000, 0.7521)
Ca (0.7231, 0.5000, 0.2479)
Ca (0.7769, 0.0000, 0.7521)
Tl (0.0708, 0.5000, 0.3336)
Tl (0.1098, 0.0000, 0.6993)
Tl (0.3902, 0.5000, 0.3007)
Tl (0.4292, 0.0000, 0.6664)
Tl (0.5708, 0.0000, 0.3336)
Tl (0.6098, 0.5000, 0.6993)
Tl (0.8902, 0.0000, 0.3007)
Tl (0.9292, 0.5000, 0.6664)
Sn (0.0000, 0.0000, 0.0000)
Sn (0.5000, 0.5000, 0.0000)

Properties
- ΔH_f (0 K): -147.2 meV per atom
- DFT total energy: -37.0 eV/cell
- Size of the total moment: 0.00 μB per formula unit
- D(E_F): 7.03 states/eV/cell
- Energy above the lowest structure with this stoichiometry: 72 meV/atom